No. 1
Computed, not measured: a relaxed PIrSN crystal at the PBE-GGA level of DFT.

ΔE_f (raw), meV/atom: 70
Energy above the lowest structure with this stoichiometry, eV per atom: 0.0753
Fermi-level density of states, states/eV/f.u.: 2.46

Geometry as CIF:
```
data_PIrSN
_symmetry_space_group_name_H-M 'P 1'
_symmetry_Int_Tables_number 1
_cell_length_a 2.757
_cell_length_b 3.538
_cell_length_c 6.835
_cell_angle_alpha 78.68
_cell_angle_beta 78.54
_cell_angle_gamma 73.39
loop_
_symmetry_equiv_pos_as_xyz
'x,y,z'
loop_
_atom_site_label
_atom_site_fract_x
_atom_site_fract_y
_atom_site_fract_z
P1 0.000 0.000 0.000
Ir1 0.995 0.409 0.252
S1 0.259 0.757 0.447
N1 0.553 0.045 0.861
```


No. 2
Computed, not measured: a relaxed PIrSN2 crystal at the PBE-GGA level of DFT.

ΔE_f (raw), meV/atom: 956
Energy above the lowest structure with this stoichiometry, eV per atom: 0.0000
Fermi-level density of states, states/eV/f.u.: 2.59

Geometry as CIF:
```
data_PIrSN2
_symmetry_space_group_name_H-M 'P 4/m m m'
_symmetry_Int_Tables_number 123
_symmetry_space_group_name_Hall '-P 4 2'
_cell_length_a 3.282
_cell_length_b 3.282
_cell_length_c 8.312
_cell_angle_alpha 90.00
_cell_angle_beta 90.00
_cell_angle_gamma 90.00
loop_
_atom_site_label
_atom_site_fract_x
_atom_site_fract_y
_atom_site_fract_z
P1 0.000 0.000 0.000
Ir1 0.500 0.500 0.500
S1 0.000 0.000 0.500
N1 0.000 0.500 0.000
```


No. 3
Computed, not measured: a relaxed PIrSN crystal at the PBE-GGA level of DFT.

ΔE_f (raw), meV/atom: -5
Energy above the lowest structure with this stoichiometry, eV per atom: 0.0000
Fermi-level density of states, states/eV/f.u.: 2.17

Geometry as CIF:
```
data_PIrSN
_symmetry_space_group_name_H-M 'I m m 2'
_symmetry_Int_Tables_number 44
_cell_length_a 2.731
_cell_length_b 3.170
_cell_length_c 15.027
_cell_angle_alpha 90.00
_cell_angle_beta 90.00
_cell_angle_gamma 90.00
loop_
_symmetry_equiv_pos_as_xyz
'x,y,z'
'-x,-y,z'
'-x,y,z'
'x,-y,z'
'x+1/2,y+1/2,z+1/2'
'-x+1/2,-y+1/2,z+1/2'
'-x+1/2,y+1/2,z+1/2'
'x+1/2,-y+1/2,z+1/2'
loop_
_atom_site_label
_atom_site_fract_x
_atom_site_fract_y
_atom_site_fract_z
P1 0.000 0.000 0.000
Ir1 0.000 0.500 0.126
S1 0.000 0.000 0.233
N1 0.000 0.500 0.440
```


No. 4
Computed, not measured: a relaxed PIrSN crystal at the PBE-GGA level of DFT.

ΔE_f (raw), meV/atom: -3
Energy above the lowest structure with this stoichiometry, eV per atom: 0.0025
Fermi-level density of states, states/eV/f.u.: 1.68

Geometry as CIF:
```
data_PIrSN
_symmetry_space_group_name_H-M 'R 3 m'
_symmetry_Int_Tables_number 160
_symmetry_space_group_name_Hall 'R 3 -2"'
_cell_length_a 3.6476
_cell_length_b 3.6476
_cell_length_c 16.4065
_cell_angle_alpha 90.00
_cell_angle_beta 90.00
_cell_angle_gamma 120.00
loop_
_atom_site_label
_atom_site_fract_x
_atom_site_fract_y
_atom_site_fract_z
P1 0.0000 0.0000 0.0000
Ir1 0.0000 0.0000 0.4016
S1 0.0000 0.0000 0.8080
N1 0.0000 0.0000 0.9026
```


No. 5
Computed, not measured: a relaxed P2IrSN crystal at the PBE-GGA level of DFT.

ΔE_f (raw), meV/atom: 1807
Energy above the lowest structure with this stoichiometry, eV per atom: 0.8288
Fermi-level density of states, states/eV/f.u.: 6.42

Geometry as CIF:
```
data_P2IrSN
_symmetry_space_group_name_H-M 'P 4/m m m'
_symmetry_Int_Tables_number 123
_symmetry_space_group_name_Hall '-P 4 2'
_cell_length_a 4.504
_cell_length_b 4.504
_cell_length_c 4.772
_cell_angle_alpha 90.00
_cell_angle_beta 90.00
_cell_angle_gamma 90.00
loop_
_atom_site_label
_atom_site_fract_x
_atom_site_fract_y
_atom_site_fract_z
P1 0.000 0.500 0.000
Ir1 0.000 0.000 0.000
S1 0.000 0.000 0.500
N1 0.500 0.500 0.500
```


No. 6
Computed, not measured: a relaxed PIrSN crystal at the PBE-GGA level of DFT.

ΔE_f (raw), meV/atom: -5
Energy above the lowest structure with this stoichiometry, eV per atom: 0.0005
Fermi-level density of states, states/eV/f.u.: 2.17

Geometry as CIF:
```
data_PIrSN
_symmetry_space_group_name_H-M 'C 1 m 1'
_symmetry_Int_Tables_number 8
_cell_length_a 14.993
_cell_length_b 3.176
_cell_length_c 2.730
_cell_angle_alpha 90.00
_cell_angle_beta 90.83
_cell_angle_gamma 90.00
loop_
_symmetry_equiv_pos_as_xyz
'x,y,z'
'x,-y,z'
'x+1/2,y+1/2,z'
'x+1/2,-y+1/2,z'
loop_
_atom_site_label
_atom_site_fract_x
_atom_site_fract_y
_atom_site_fract_z
P1 0.000 0.000 0.000
Ir1 0.374 0.000 0.990
S1 0.267 0.500 0.982
N1 0.060 0.000 0.505
```


No. 7
Computed, not measured: a relaxed PIrSN crystal at the PBE-GGA level of DFT.

ΔE_f (raw), meV/atom: 107
Energy above the lowest structure with this stoichiometry, eV per atom: 0.1115
Fermi-level density of states, states/eV/f.u.: 1.56

Geometry as CIF:
```
data_PIrSN
_symmetry_space_group_name_H-M 'C 1 m 1'
_symmetry_Int_Tables_number 8
_cell_length_a 6.747
_cell_length_b 2.777
_cell_length_c 7.394
_cell_angle_alpha 90.00
_cell_angle_beta 93.26
_cell_angle_gamma 90.00
loop_
_symmetry_equiv_pos_as_xyz
'x,y,z'
'x,-y,z'
'x+1/2,y+1/2,z'
'x+1/2,-y+1/2,z'
loop_
_atom_site_label
_atom_site_fract_x
_atom_site_fract_y
_atom_site_fract_z
P1 0.000 0.000 0.000
Ir1 0.027 0.000 0.307
S1 0.241 0.500 0.468
N1 0.497 0.000 0.879
```


No. 8
Computed, not measured: a relaxed PIrS2N crystal at the PBE-GGA level of DFT.

ΔE_f (raw), meV/atom: 796
Energy above the lowest structure with this stoichiometry, eV per atom: 0.0000
Fermi-level density of states, states/eV/f.u.: 2.18

Geometry as CIF:
```
data_PIrS2N
_symmetry_space_group_name_H-M 'P 4/m m m'
_symmetry_Int_Tables_number 123
_symmetry_space_group_name_Hall '-P 4 2'
_cell_length_a 4.819
_cell_length_b 4.819
_cell_length_c 3.643
_cell_angle_alpha 90.00
_cell_angle_beta 90.00
_cell_angle_gamma 90.00
loop_
_atom_site_label
_atom_site_fract_x
_atom_site_fract_y
_atom_site_fract_z
P1 0.000 0.000 0.000
Ir1 0.500 0.500 0.500
S1 0.000 0.500 0.500
N1 0.500 0.500 0.000
```


No. 9
Computed, not measured: a relaxed PIrS2N crystal at the PBE-GGA level of DFT.

ΔE_f (raw), meV/atom: 839
Energy above the lowest structure with this stoichiometry, eV per atom: 0.0425
Fermi-level density of states, states/eV/f.u.: 3.51

Geometry as CIF:
```
data_PIrS2N
_symmetry_space_group_name_H-M 'P 4/m m m'
_symmetry_Int_Tables_number 123
_symmetry_space_group_name_Hall '-P 4 2'
_cell_length_a 4.620
_cell_length_b 4.620
_cell_length_c 3.128
_cell_angle_alpha 90.00
_cell_angle_beta 90.00
_cell_angle_gamma 90.00
loop_
_atom_site_label
_atom_site_fract_x
_atom_site_fract_y
_atom_site_fract_z
P1 0.000 0.000 0.000
Ir1 0.500 0.500 0.500
S1 0.000 0.500 0.000
N1 0.000 0.000 0.500
```


No. 10
Computed, not measured: a relaxed P2IrSN crystal at the PBE-GGA level of DFT.

ΔE_f (raw), meV/atom: 978
Energy above the lowest structure with this stoichiometry, eV per atom: 0.0000
Fermi-level density of states, states/eV/f.u.: 1.59

Geometry as CIF:
```
data_P2IrSN
_symmetry_space_group_name_H-M 'P 4/m m m'
_symmetry_Int_Tables_number 123
_symmetry_space_group_name_Hall '-P 4 2'
_cell_length_a 3.938
_cell_length_b 3.938
_cell_length_c 4.080
_cell_angle_alpha 90.00
_cell_angle_beta 90.00
_cell_angle_gamma 90.00
loop_
_atom_site_label
_atom_site_fract_x
_atom_site_fract_y
_atom_site_fract_z
P1 0.000 0.500 0.000
Ir1 0.000 0.000 0.500
S1 0.500 0.500 0.500
N1 0.500 0.500 0.000
```


No. 11
Computed, not measured: a relaxed PIrS2N crystal at the PBE-GGA level of DFT.

ΔE_f (raw), meV/atom: 1819
Energy above the lowest structure with this stoichiometry, eV per atom: 1.0223
Fermi-level density of states, states/eV/f.u.: 5.54

Geometry as CIF:
```
data_PIrS2N
_symmetry_space_group_name_H-M 'P 4/m m m'
_symmetry_Int_Tables_number 123
_symmetry_space_group_name_Hall '-P 4 2'
_cell_length_a 4.623
_cell_length_b 4.623
_cell_length_c 4.539
_cell_angle_alpha 90.00
_cell_angle_beta 90.00
_cell_angle_gamma 90.00
loop_
_atom_site_label
_atom_site_fract_x
_atom_site_fract_y
_atom_site_fract_z
P1 0.000 0.000 0.000
Ir1 0.000 0.000 0.500
S1 0.000 0.500 0.500
N1 0.500 0.500 0.000
```


No. 12
Computed, not measured: a relaxed PIrSN crystal at the PBE-GGA level of DFT.

ΔE_f (raw), meV/atom: 62
Energy above the lowest structure with this stoichiometry, eV per atom: 0.0670
Fermi-level density of states, states/eV/f.u.: 1.70

Geometry as CIF:
```
data_PIrSN
_symmetry_space_group_name_H-M 'A m m 2'
_symmetry_Int_Tables_number 38
_cell_length_a 2.981
_cell_length_b 2.753
_cell_length_c 15.081
_cell_angle_alpha 90.00
_cell_angle_beta 90.00
_cell_angle_gamma 90.00
loop_
_symmetry_equiv_pos_as_xyz
'x,y,z'
'-x,-y,z'
'-x,y,z'
'x,-y,z'
'x,y+1/2,z+1/2'
'-x,-y+1/2,z+1/2'
'-x,y+1/2,z+1/2'
'x,-y+1/2,z+1/2'
loop_
_atom_site_label
_atom_site_fract_x
_atom_site_fract_y
_atom_site_fract_z
P1 0.000 0.000 0.000
Ir1 0.500 0.000 0.122
S1 0.500 0.000 0.743
N1 0.000 0.000 0.441
```


No. 13
Computed, not measured: a relaxed PIrSN crystal at the PBE-GGA level of DFT.

ΔE_f (raw), meV/atom: 160
Energy above the lowest structure with this stoichiometry, eV per atom: 0.1647
Fermi-level density of states, states/eV/f.u.: 1.06

Geometry as CIF:
```
data_PIrSN
_symmetry_space_group_name_H-M 'C 1 m 1'
_symmetry_Int_Tables_number 8
_cell_length_a 8.552
_cell_length_b 2.933
_cell_length_c 5.081
_cell_angle_alpha 90.00
_cell_angle_beta 119.98
_cell_angle_gamma 90.00
loop_
_symmetry_equiv_pos_as_xyz
'x,y,z'
'x,-y,z'
'x+1/2,y+1/2,z'
'x+1/2,-y+1/2,z'
loop_
_atom_site_label
_atom_site_fract_x
_atom_site_fract_y
_atom_site_fract_z
P1 0.000 0.000 0.000
Ir1 0.256 0.000 0.888
S1 0.349 0.000 0.382
N1 0.157 0.000 0.386
```


No. 14
Computed, not measured: a relaxed PIrSN2 crystal at the PBE-GGA level of DFT.

ΔE_f (raw), meV/atom: 1124
Energy above the lowest structure with this stoichiometry, eV per atom: 0.1678
Fermi-level density of states, states/eV/f.u.: 2.79

Geometry as CIF:
```
data_PIrSN2
_symmetry_space_group_name_H-M 'P 4/m m m'
_symmetry_Int_Tables_number 123
_symmetry_space_group_name_Hall '-P 4 2'
_cell_length_a 3.727
_cell_length_b 3.727
_cell_length_c 5.542
_cell_angle_alpha 90.00
_cell_angle_beta 90.00
_cell_angle_gamma 90.00
loop_
_atom_site_label
_atom_site_fract_x
_atom_site_fract_y
_atom_site_fract_z
P1 0.000 0.000 0.000
Ir1 0.500 0.500 0.500
S1 0.500 0.500 0.000
N1 0.000 0.500 0.500
```